# 1
Computed, not measured: SrAcSnBi after structural relaxation at the PBE level of DFT.

abc: 5.847 5.847 5.847
angles: 60.00 60.00 60.00
Element x y z (fractional)
Sr (0.500, 0.500, 0.500)
Ac (0.000, 0.000, 0.000)
Bi (0.750, 0.750, 0.750)
Sn (0.250, 0.250, 0.250)

Properties
space group = No. 216
Fermi-level density of states = 3.827 states/eV/f.u.
formation energy = -60.2 kJ/mol of atoms
magnetic moment = 0.0 μB/f.u.
electronic total energy = -16.17 eV per cell

---

# 2
Computed, not measured: Ac6Sn2BiTe3 after structural relaxation at the PBE level of DFT.

abc: 4.828 9.606 10.741
angles: 102.36 102.99 90.00
Element x y z (fractional)
Ac (0.004, 0.250, 0.008)
Ac (0.667, 0.094, 0.334)
Ac (0.996, 0.750, 0.992)
Ac (0.333, 0.906, 0.666)
Ac (0.670, 0.576, 0.340)
Ac (0.330, 0.424, 0.660)
Te (0.500, 0.500, 0.000)
Te (0.165, 0.834, 0.330)
Te (0.835, 0.166, 0.670)
Sn (0.834, 0.668, 0.667)
Sn (0.166, 0.332, 0.333)
Bi (0.500, 0.000, 0.000)

Properties
uncorrected formation energy = -1.20 eV per atom
space group = No. 12
Fermi-level density of states = 2.608 states/eV/f.u.
magnetic moment = 0.0 μB/f.u.
electronic total energy = -60.37 eV per cell

---

# 3
Computed, not measured: SrAcBi2 after structural relaxation at the PBE level of DFT.

abc: 6.877 6.879 13.802
angles: 90.00 90.10 90.00
Element x y z (fractional)
Bi (0.000, 0.751, 0.872)
Bi (0.500, 0.750, 0.122)
Bi (0.500, 0.249, 0.372)
Bi (0.500, 0.751, 0.628)
Bi (0.000, 0.249, 0.128)
Bi (0.500, 0.250, 0.878)
Bi (0.000, 0.250, 0.622)
Bi (0.000, 0.750, 0.378)
Sr (0.000, 0.750, 0.125)
Sr (0.500, 0.750, 0.375)
Sr (0.500, 0.250, 0.625)
Sr (0.000, 0.250, 0.875)
Ac (0.000, 0.250, 0.375)
Ac (0.500, 0.250, 0.125)
Ac (0.000, 0.750, 0.625)
Ac (0.500, 0.750, 0.875)

Properties
space group = No. 13
Fermi-level density of states = 4.265 states/eV/f.u.
polymorph energy (0 for the lowest one) = 0 meV per atom
formation energy = -78.4 kJ/mol of atoms
magnetic moment = 0.0 μB/f.u.
electronic total energy = -67.20 eV per cell

---

# 4
Computed, not measured: Sr3AcBi3 after structural relaxation at the PBE level of DFT.

abc: 9.128 9.128 9.128
angles: 66.23 66.23 66.23
Element x y z (fractional)
Sr (0.379, 0.105, 0.807)
Sr (0.105, 0.807, 0.379)
Sr (0.807, 0.379, 0.105)
Sr (0.621, 0.895, 0.193)
Sr (0.193, 0.621, 0.895)
Sr (0.895, 0.193, 0.621)
Bi (0.711, 0.068, 0.447)
Bi (0.932, 0.553, 0.289)
Bi (0.447, 0.711, 0.068)
Bi (0.068, 0.447, 0.711)
Bi (0.289, 0.932, 0.553)
Bi (0.553, 0.289, 0.932)
Ac (0.668, 0.668, 0.668)
Ac (0.332, 0.332, 0.332)

Properties
space group = No. 148
Fermi-level density of states = 0.106 states/eV/f.u.
formation energy = -81.7 kJ/mol of atoms
magnetic moment = 0.0 μB/f.u.
electronic total energy = -53.44 eV per cell